1.
Al6Cu10Si: optimized geometry, GGA-PBE.

Cell and atoms, written as POSCAR:
```
Al6Cu10Si
1.0
7.1611 0.0000 0.0000
-3.5806 6.2017 0.0000
0.0000 0.0000 5.1085
Al Cu Si
6 10 1
Direct
0.0000 0.3561 0.3135
0.0000 0.6439 0.6865
0.3561 0.0000 0.3135
0.3561 0.3561 0.6865
0.6439 0.0000 0.6865
0.6439 0.6439 0.3135
0.0000 0.2957 0.8307
0.0000 0.7043 0.1693
0.2957 0.0000 0.8307
0.2957 0.2957 0.1693
0.3333 0.6667 0.0000
0.3333 0.6667 0.5000
0.6667 0.3333 0.0000
0.6667 0.3333 0.5000
0.7043 0.0000 0.1693
0.7043 0.7043 0.8307
0.0000 0.0000 0.5000
```

Output
Total magnetic moment: 0.000 Bohr magnetons per cell
Formation energy from raw total energies: -1.714 eV/f.u.
Crystal system: trigonal

***

2.
KInP2Se6: optimized geometry, GGA-PBE.

Cell and atoms, written as POSCAR:
```
KInP2Se6
1.0
8.1720 0.0000 0.0000
0.0000 6.6155 0.0000
-6.5677 0.0000 23.1709
K In P Se
4 4 8 24
Direct
0.1981 0.0059 0.2247
0.1981 0.4941 0.7247
0.8019 0.5059 0.2753
0.8019 0.9941 0.7753
0.4248 0.7483 0.9521
0.4248 0.7517 0.4521
0.5752 0.2483 0.5479
0.5752 0.2517 0.0479
0.1853 0.2472 0.3952
0.1853 0.2527 0.8952
0.4337 0.2444 0.8688
0.4337 0.2556 0.3688
0.5663 0.7444 0.6312
0.5663 0.7556 0.1312
0.8147 0.7472 0.1048
0.8147 0.7528 0.6048
0.0062 0.5835 0.1679
0.0062 0.9165 0.6679
0.1157 0.5666 0.4046
0.1157 0.9334 0.9046
0.2544 0.0855 0.4817
0.2544 0.4145 0.9817
0.3766 0.5870 0.5576
0.3766 0.9130 0.0576
0.3981 0.0771 0.7897
0.3981 0.4229 0.2897
0.4983 0.5664 0.8593
0.4983 0.9336 0.3593
0.5017 0.0664 0.6407
0.5017 0.4336 0.1407
0.6019 0.5771 0.7103
0.6019 0.9229 0.2103
0.6234 0.0870 0.9424
0.6234 0.4130 0.4424
0.7456 0.5855 0.0183
0.7456 0.9145 0.5183
0.8843 0.0666 0.0954
0.8843 0.4334 0.5954
0.9938 0.0835 0.3321
0.9938 0.4165 0.8321
```

Output
Total magnetic moment: 0.000 Bohr magnetons per cell
Formation energy from raw total energies: -4.388 eV/f.u.
Crystal system: monoclinic

***

3.
CaRuW2: optimized geometry, GGA-PBE.

Cell and atoms, written as POSCAR:
```
CaRuW2
1.0
-3.8371 3.8371 2.7233
3.8371 -3.8371 2.7233
3.8371 3.8371 -2.7233
Ca Ru W
2 2 4
Direct
0.0000 0.0000 0.0000
0.7500 0.2500 0.5000
0.2500 0.7500 0.5000
0.5000 0.5000 0.0000
0.1859 0.6250 0.0609
0.3750 0.4359 0.5609
0.5641 0.1250 0.9391
0.8750 0.8141 0.4391
```

Output
Energy relative to the lowest polymorph listed for this composition: 543 meV per atom
E_form: 3.98 eV per formula unit
Total magnetic moment: 0.000 Bohr magnetons per cell
Crystal system: tetragonal